The following is a GGA-PBE calculation of a relaxed structure of LaNd3F, from Alexandria.

Output
Magnetic moment (μB per cell): 0.0
Final energy (eV for the cell shown): -25.97
ρ (kg/m³): 6807
SG: No. 221
Formation energy from raw total energies (kJ/mol of formula units): -470

Cell: 5.2425 5.2425 5.2425 Å, 90.00 90.00 90.00°
Element x y z (fractional)
La 0.0000 0.0000 0.0000
Nd 0.0000 0.5000 0.5000
Nd 0.5000 0.0000 0.5000
Nd 0.5000 0.5000 0.0000
F 0.5000 0.5000 0.5000

=====

The following is a GGA-PBE calculation of a relaxed structure of La2NdF, from Alexandria.

Output
Magnetic moment (μB per cell): 0.0
Final energy (eV for the cell shown): -21.21
ρ (kg/m³): 6288
SG: No. 166
Formation energy from raw total energies (kJ/mol of formula units): -455

Cell: 9.1912 9.1912 9.1912 Å, 24.40 24.40 24.40°
Element x y z (fractional)
La 0.2229 0.2229 0.2229
La 0.7771 0.7771 0.7771
Nd 0.0000 0.0000 0.0000
F 0.5000 0.5000 0.5000

=====

What did the first record say?
The following is a GGA-PBE calculation of a relaxed structure of LaNd3F, from Alexandria.

Output
Magnetic moment (μB per cell): 0.0
Final energy (eV for the cell shown): -25.97
ρ (kg/m³): 6807
SG: No. 221
Formation energy from raw total energies (kJ/mol of formula units): -470

Cell: 5.2425 5.2425 5.2425 Å, 90.00 90.00 90.00°
Element x y z (fractional)
La 0.0000 0.0000 0.0000
Nd 0.0000 0.5000 0.5000
Nd 0.5000 0.0000 0.5000
Nd 0.5000 0.5000 0.0000
F 0.5000 0.5000 0.5000